LiBeGe | PBE | relaxed

Relative energy among the computed polymorphs   0.12 eV per formula unit
VASP energy   -10.5 eV per cell

Geometry as CIF:
```
data_LiBeGe
_space_group_name_H-M_alt 'P -6 m 2'
_space_group_IT_number 187
_space_group_name_Hall 'P -6 2'
_cell_length_a 3.9637
_cell_length_b 3.9637
_cell_length_c 3.0933
_cell_angle_alpha 90.00
_cell_angle_beta 90.00
_cell_angle_gamma 120.00
loop_
_atom_site_label
_atom_site_type_symbol
_atom_site_fract_x
_atom_site_fract_y
_atom_site_fract_z
Li1 Li 0.0000 0.0000 0.0000
Be1 Be 0.3333 0.6667 0.5000
Ge1 Ge 0.6667 0.3333 0.5000
```